1.
A relaxed CaSn12Ru4 crystal, computed with PBE.

Unit cell a=8.255 b=8.255 c=8.255 alpha=109.47 beta=109.47 gamma=109.47
Sites, in units of the cell vectors:
Ca  0.000  0.000  0.000
Sn  0.166  0.332  0.834
Sn  0.166  0.497  0.332
Sn  0.166  0.834  0.668
Sn  0.332  0.166  0.497
Sn  0.332  0.834  0.166
Sn  0.497  0.332  0.166
Sn  0.503  0.668  0.834
Sn  0.668  0.166  0.834
Sn  0.668  0.834  0.503
Sn  0.834  0.166  0.332
Sn  0.834  0.503  0.668
Sn  0.834  0.668  0.166
Ru  0.000  0.000  0.500
Ru  0.000  0.500  0.000
Ru  0.500  0.000  0.000
Ru  0.500  0.500  0.500

Formation enthalpy at 0 K (kcal/mol of atoms): 0.0

***

2.
A relaxed NdBe4Pt12 crystal, computed with PBE.

Unit cell a=7.015 b=7.015 c=7.015 alpha=109.47 beta=109.47 gamma=109.47
Sites, in units of the cell vectors:
Nd  0.000  0.000  0.000
Be  0.000  0.000  0.500
Be  0.000  0.500  0.000
Be  0.500  0.000  0.000
Be  0.500  0.500  0.500
Pt  0.164  0.332  0.832
Pt  0.168  0.500  0.332
Pt  0.168  0.836  0.668
Pt  0.332  0.168  0.500
Pt  0.332  0.832  0.164
Pt  0.500  0.332  0.168
Pt  0.500  0.668  0.832
Pt  0.668  0.168  0.836
Pt  0.668  0.832  0.500
Pt  0.832  0.164  0.332
Pt  0.832  0.500  0.668
Pt  0.836  0.668  0.168

Formation enthalpy at 0 K (kcal/mol of atoms): -6.0

***

3.
A relaxed Li3Pd13 crystal, computed with PBE.

Unit cell a=7.953 b=5.481 c=5.481 alpha=91.16 beta=90.00 gamma=90.00
Sites, in units of the cell vectors:
Li  0.000  0.000  0.000
Li  0.253  0.259  0.259
Li  0.747  0.259  0.259
Pd  0.000  0.008  0.502
Pd  0.000  0.502  0.008
Pd  0.000  0.502  0.502
Pd  0.247  0.256  0.757
Pd  0.247  0.757  0.256
Pd  0.247  0.759  0.759
Pd  0.500  0.007  0.507
Pd  0.500  0.011  0.011
Pd  0.500  0.503  0.503
Pd  0.500  0.507  0.007
Pd  0.753  0.256  0.757
Pd  0.753  0.757  0.256
Pd  0.753  0.759  0.759

Formation enthalpy at 0 K (kcal/mol of atoms): -4.2

***

4.
A relaxed HoZnOs crystal, computed with PBE.

Unit cell a=7.621 b=7.621 c=7.621 alpha=156.39 beta=156.39 gamma=33.63
Sites, in units of the cell vectors:
Ho  0.000  0.000  0.000
Zn  0.791  0.791  0.000
Os  0.616  0.616  0.000

Formation enthalpy at 0 K (kcal/mol of atoms): 15.5

***

5.
A relaxed Ba2NaMg12Ga3 crystal, computed with PBE.

Unit cell a=8.916 b=8.916 c=8.916 alpha=66.95 beta=66.95 gamma=66.95
Sites, in units of the cell vectors:
Ba  0.091  0.091  0.091
Ba  0.909  0.909  0.909
Na  0.500  0.500  0.500
Mg  0.107  0.639  0.639
Mg  0.230  0.230  0.614
Mg  0.230  0.614  0.230
Mg  0.361  0.361  0.893
Mg  0.361  0.893  0.361
Mg  0.386  0.770  0.770
Mg  0.614  0.230  0.230
Mg  0.639  0.107  0.639
Mg  0.639  0.638  0.107
Mg  0.770  0.386  0.770
Mg  0.770  0.770  0.386
Mg  0.893  0.361  0.361
Ga  0.000  0.500  0.500
Ga  0.500  0.000  0.500
Ga  0.500  0.500  0.000

Formation enthalpy at 0 K (kcal/mol of atoms): 4.7

***

6.
A relaxed La12Cu5Bi crystal, computed with PBE.

Unit cell a=8.936 b=8.936 c=8.936 alpha=116.24 beta=111.23 gamma=101.29
Sites, in units of the cell vectors:
La  0.027  0.216  0.811
La  0.185  0.290  0.475
La  0.185  0.710  0.895
La  0.319  0.016  0.697
La  0.319  0.621  0.303
La  0.404  0.216  0.189
La  0.596  0.784  0.811
La  0.681  0.379  0.697
La  0.681  0.984  0.303
La  0.815  0.290  0.105
La  0.815  0.710  0.525
La  0.973  0.784  0.189
Cu  0.000  0.000  0.000
Cu  0.115  0.615  0.500
Cu  0.364  0.000  0.364
Cu  0.636  0.000  0.636
Cu  0.885  0.385  0.500
Bi  0.500  0.500  0.000

Formation enthalpy at 0 K (kcal/mol of atoms): -4.2

***

no.,total magnetic moment (μB per atom)
1,0.00
2,0.00
3,0.00
4,0.00
5,0.00
6,0.00